{"formula": "SiSb2Br", "functional": "PBE", "state": "optimized geometry", "lattice_angstrom": [[-1.8313, 2.5544, 5.4420], [1.8313, -2.5544, 5.4420], [1.8313, 2.5544, -5.4420]], "species": ["Si", "Sb", "Sb", "Br"], "fractional_positions": [[0.0000, 0.0000, 0.0000], [0.1968, 0.6968, 0.5000], [0.8032, 0.3032, 0.5000], [0.5000, 0.5000, 0.0000]], "dft_energy_ev_per_atom": -3.553, "m_tot_mub_per_fu": 0.00, "polymorph_energy_mev_per_atom": 184}

{"formula": "Sr3Li2", "functional": "PBE", "state": "optimized geometry", "lattice_angstrom": [[5.9284, 0.0000, 0.0000], [-2.9642, 5.1342, 0.0000], [0.0000, 0.0000, 7.2511]], "species": ["Sr", "Sr", "Sr", "Li", "Li"], "fractional_positions": [[0.0000, 0.0000, 0.0000], [0.3333, 0.6667, 0.3422], [0.6667, 0.3333, 0.6578], [0.3333, 0.6667, 0.8596], [0.6667, 0.3333, 0.1404]], "e_form_ev_per_atom": 0.11, "dft_energy_ev_per_atom": -1.662, "m_tot_mub_per_fu": 0.00, "polymorph_energy_mev_per_atom": 114}

{"formula": "NbBr", "functional": "PBE", "state": "optimized geometry", "lattice_angstrom": [[7.1954, 0.0000, 0.0000], [0.0000, 7.1954, 0.0000], [0.0000, 0.0000, 7.1954]], "species": ["Nb", "Nb", "Nb", "Nb", "Nb", "Nb", "Br", "Br", "Br", "Br", "Br", "Br"], "fractional_positions": [[0.0000, 0.2500, 0.5000], [0.0000, 0.7500, 0.5000], [0.2500, 0.5000, 0.0000], [0.5000, 0.0000, 0.2500], [0.5000, 0.0000, 0.7500], [0.7500, 0.5000, 0.0000], [0.0000, 0.5000, 0.2500], [0.0000, 0.5000, 0.7500], [0.2500, 0.0000, 0.5000], [0.5000, 0.2500, 0.0000], [0.5000, 0.7500, 0.0000], [0.7500, 0.0000, 0.5000]], "dft_energy_ev_per_atom": -4.748, "m_tot_mub_per_fu": 0.15}

{"formula": "CdSbMo", "functional": "PBE", "state": "optimized geometry", "lattice_angstrom": [[-1.5699, 1.5699, 6.8433], [1.5699, -1.5699, 6.8433], [1.5699, 1.5699, -6.8433]], "species": ["Cd", "Sb", "Mo"], "fractional_positions": [[0.0000, 0.0000, 0.0000], [0.2740, 0.2740, 0.0000], [0.6408, 0.6408, 0.0000]], "dft_energy_ev_per_atom": -4.844, "m_tot_mub_per_fu": 0.90, "polymorph_energy_mev_per_atom": 127}

no.,Fermi-level density of states (states/eV/atom)
1,0.50
2,1.03
3,1.12
4,0.81